First-principles (PBE-GGA) data for an optimized crystal structure of La3Pr7Tl2, as listed in the Alexandria database.

Summary:
Total moment: 0.00 μB/cell
Energy of formation: -44.9 meV/atom
Crystal system: monoclinic

Cell: 5.939 3.719 19.044 Å, 90.00 93.77 90.00°
Space group P2/m (No. 10)
Asymmetric unit:
La 0.000 0.000 0.000 [1 per cell]
La 0.283 0.500 0.644 [2 per cell]
Pr 0.177 0.500 0.154 [2 per cell]
Pr 0.241 0.000 0.466 [2 per cell]
Pr 0.317 0.000 0.832 [2 per cell]
Pr 0.500 0.500 0.000 [1 per cell]
Tl 0.205 0.000 0.298 [2 per cell]